First-principles (PBE) data for SrHgTeO after structural relaxation, as listed in OQMD.

Structure (extended XYZ):
```
16
Lattice="6.395 0.000 0.000 0.000 6.731 0.000 0.000 0.000 10.055" Properties=species:S:1:pos:R:3 pbc="T T T"
Sr 0.035 0.185 3.922
Sr 3.163 6.546 8.949
Sr 3.232 3.181 6.134
Sr 6.360 3.550 1.106
Hg 0.013 1.780 7.476
Hg 3.185 4.951 2.448
Hg 3.210 1.586 2.579
Hg 6.382 5.145 7.607
Te 0.048 3.510 4.886
Te 3.149 3.220 9.913
Te 3.245 6.586 5.170
Te 6.347 0.145 0.142
O 0.079 4.663 3.174
O 3.118 2.068 8.201
O 3.277 5.434 6.882
O 6.316 1.297 1.854
```

Computed properties:
E above lowest polymorph   0.091 eV per atom
Uncorrected energy   -3.722 eV per atom
Symmetry   No. 19


First-principles (PBE) data for RbHfAg after structural relaxation, as listed in OQMD.

Structure (extended XYZ):
```
12
Lattice="7.300 0.000 0.000 0.000 7.300 0.000 0.000 0.000 7.300" Properties=species:S:1:pos:R:3 pbc="T T T"
Rb 0.000 0.000 0.000
Rb 0.000 3.650 3.650
Rb 3.650 0.000 3.650
Rb 3.650 3.650 0.000
Hf 0.000 0.000 3.650
Hf 0.000 3.650 0.000
Hf 3.650 0.000 0.000
Hf 3.650 3.650 3.650
Ag 1.825 1.825 5.475
Ag 1.825 5.475 1.825
Ag 5.475 1.825 1.825
Ag 5.475 5.475 5.475
```

Computed properties:
E above lowest polymorph   0.000 eV per atom
Total magnetization   1.26 μB per formula unit
Uncorrected energy   -3.278 eV per atom
Symmetry   No. 216


Q: Number 1 is which compound?
A: SrHgTeO


Q: Which value of E above lowest polymorph does entry 1 give?
A: 0.091 eV per atom


Q: E above lowest polymorph of number 1 (SrHgTeO)?
A: 0.091 eV per atom


Q: Look up the E above lowest polymorph of the second one.
A: 0.000 eV per atom